MnSb2Mo | GGA-PBE | optimized geometry

Values from the calculation:
ΔE_f (raw) in eV per atom: 0.44
Calculated total energy in Ry per atom: -0.48689
Magnetic moment in μB/atom: 0.5613
Fermi-level density of states in states/eV/atom: 0.873

a = 5.617 Å, b = 5.617 Å, c = 5.617 Å
α = 138.23°, β = 138.23°, γ = 60.55°
Atoms (fractional coordinates):
Mn (0.000, 0.000, 0.000)
Sb (0.500, 0.500, 0.000)
Sb (0.750, 0.250, 0.500)
Mo (0.250, 0.750, 0.500)